First-principles (PBE) data for a geometry-optimized Er3Ge2Ir2 structure, as listed in the Alexandria database.

The structure in CIF format:
```
data_Er3Ge2Ir2
_cell_length_a 5.584
_cell_length_b 7.741
_cell_length_c 13.268
_cell_angle_alpha 90.00
_cell_angle_beta 90.00
_cell_angle_gamma 90.00
_space_group_name_H-M_alt 'P b c m'
_space_group_IT_number 57
loop_
_space_group_symop_operation_xyz
'x,y,z'
'-x,-y,-z'
'-x,-y,z+1/2'
'x,y,-z+1/2'
'x,-y+1/2,-z'
'-x,y+1/2,z'
'-x,y+1/2,-z+1/2'
'x,-y+1/2,z+1/2'
loop_
_atom_site_label
_atom_site_fract_x
_atom_site_fract_y
_atom_site_fract_z
Er1 0.123 0.241 0.250
Er2 0.354 0.605 0.100
Ge1 0.159 0.250 0.000
Ge2 0.380 0.608 0.750
Ir1 0.133 0.546 0.593
```


First-principles (PBE) data for a geometry-optimized Er2Ge3Ir structure, as listed in the Alexandria database.

The structure in CIF format:
```
data_Er2Ge3Ir
_cell_length_a 10.298
_cell_length_b 4.370
_cell_length_c 6.861
_cell_angle_alpha 90.00
_cell_angle_beta 129.87
_cell_angle_gamma 90.00
_space_group_name_H-M_alt 'C 1 m 1'
_space_group_IT_number 8
loop_
_space_group_symop_operation_xyz
'x,y,z'
'x,-y,z'
'x+1/2,y+1/2,z'
'x+1/2,-y+1/2,z'
loop_
_atom_site_label
_atom_site_fract_x
_atom_site_fract_y
_atom_site_fract_z
Er1 0.000 0.000 0.000
Er2 0.113 0.000 0.606
Ge1 0.226 0.500 0.402
Ge2 0.379 0.000 0.201
Ge3 0.430 0.000 0.656
Ir1 0.233 0.500 0.035
```


First-principles (PBE) data for a geometry-optimized Er7Ge2Ir2 structure, as listed in the Alexandria database.

The structure in CIF format:
```
data_Er7Ge2Ir2
_cell_length_a 8.661
_cell_length_b 10.163
_cell_length_c 6.896
_cell_angle_alpha 90.00
_cell_angle_beta 90.00
_cell_angle_gamma 90.00
_space_group_name_H-M_alt 'C m m m'
_space_group_IT_number 65
_space_group_name_Hall '-C 2 2'
loop_
_atom_site_label
_atom_site_fract_x
_atom_site_fract_y
_atom_site_fract_z
Er1 0.000 0.000 0.000
Er2 0.000 0.500 0.242
Er3 0.250 0.250 0.250
Ge1 0.226 0.000 0.500
Ir1 0.000 0.278 0.000
```


First-principles (PBE) data for a geometry-optimized Er3GeIr structure, as listed in the Alexandria database.

The structure in CIF format:
```
data_Er3GeIr
_cell_length_a 7.598
_cell_length_b 4.235
_cell_length_c 8.031
_cell_angle_alpha 90.00
_cell_angle_beta 108.77
_cell_angle_gamma 90.00
_space_group_name_H-M_alt 'P 1 21/m 1'
_space_group_IT_number 11
loop_
_space_group_symop_operation_xyz
'x,y,z'
'-x,-y,-z'
'-x,y+1/2,-z'
'x,-y+1/2,z'
loop_
_atom_site_label
_atom_site_fract_x
_atom_site_fract_y
_atom_site_fract_z
Er1 0.070 0.250 0.243
Er2 0.323 0.250 0.943
Er3 0.337 0.750 0.592
Ge1 0.364 0.750 0.217
Ir1 0.081 0.250 0.611
```


First-principles (PBE) data for a geometry-optimized Er4Ge8Ir structure, as listed in the Alexandria database.

The structure in CIF format:
```
data_Er4Ge8Ir
_cell_length_a 4.018
_cell_length_b 4.116
_cell_length_c 16.098
_cell_angle_alpha 90.00
_cell_angle_beta 90.00
_cell_angle_gamma 90.00
_space_group_name_H-M_alt 'P m m 2'
_space_group_IT_number 25
loop_
_space_group_symop_operation_xyz
'x,y,z'
'-x,-y,z'
'-x,y,z'
'x,-y,z'
loop_
_atom_site_label
_atom_site_fract_x
_atom_site_fract_y
_atom_site_fract_z
Er1 0.000 0.000 0.000
Er2 0.000 0.500 0.487
Er3 0.500 0.000 0.789
Er4 0.500 0.500 0.284
Ge1 0.000 0.000 0.329
Ge2 0.000 0.000 0.620
Ge3 0.000 0.500 0.140
Ge4 0.000 0.500 0.857
Ge5 0.500 0.000 0.144
Ge6 0.500 0.000 0.435
Ge7 0.500 0.500 0.619
Ge8 0.500 0.500 0.959
Ir1 0.000 0.500 0.707
```


First-principles (PBE) data for a geometry-optimized Er4Ge3Ir structure, as listed in the Alexandria database.

The structure in CIF format:
```
data_Er4Ge3Ir
_cell_length_a 3.995
_cell_length_b 4.146
_cell_length_c 10.669
_cell_angle_alpha 90.00
_cell_angle_beta 90.00
_cell_angle_gamma 90.00
_space_group_name_H-M_alt 'P m m 2'
_space_group_IT_number 25
loop_
_space_group_symop_operation_xyz
'x,y,z'
'-x,-y,z'
'-x,y,z'
'x,-y,z'
loop_
_atom_site_label
_atom_site_fract_x
_atom_site_fract_y
_atom_site_fract_z
Er1 0.000 0.000 0.000
Er2 0.000 0.500 0.484
Er3 0.500 0.000 0.710
Er4 0.500 0.500 0.215
Ge1 0.000 0.500 0.765
Ge2 0.500 0.000 0.434
Ge3 0.500 0.500 0.930
Ir1 0.000 0.000 0.271
```


V (computed, A^3/atom): 20.48; 19.75; 27.59; 24.47; 20.48; 22.09
Formation enthalpy at 0 K (computed, eV/atom): -0.92; -0.74; -0.54; -0.72; -0.61; -0.85
Fermi-level density of states (computed, states/eV per cell): 16.218; 6.091; 7.892; 6.386; 5.568; 5.563